Rb4IrS2: relaxed, PBE-GGA.

POSCAR file:
```
Rb4IrS2
1.0
6.628 0.000 0.000
0.000 6.628 0.000
3.314 3.314 7.234
Rb Ir S
4 1 2
direct
0.000 0.500 0.000
0.215 0.215 0.570
0.785 0.785 0.430
0.500 0.000 0.000
0.000 0.000 0.000
0.573 0.573 0.854
0.427 0.427 0.146
```

Results
symmetry: I4/mmm
final energy: -2.92 eV per atom
M_tot: 1.06 μB per cell



Li8Pr7Ge10: relaxed, PBE-GGA.

POSCAR file:
```
Li8Pr7Ge10
1.0
-2.349 -2.843 -16.832
-4.088 0.243 16.738
-1.661 4.130 -0.466
Li Pr Ge
8 7 10
direct
0.735 0.885 0.500
0.885 0.735 0.500
0.544 0.831 0.000
0.169 0.456 0.000
0.831 0.544 0.000
0.265 0.115 0.500
0.456 0.169 0.000
0.115 0.265 0.500
0.558 0.442 0.000
0.721 0.279 0.500
0.000 0.000 0.000
0.442 0.558 0.000
0.839 0.161 0.500
0.279 0.721 0.500
0.161 0.839 0.500
0.094 0.906 0.000
0.906 0.094 0.000
0.398 0.967 0.000
0.373 0.627 0.500
0.685 0.685 0.500
0.602 0.033 0.000
0.967 0.398 0.000
0.315 0.315 0.500
0.033 0.602 0.000
0.627 0.373 0.500
```

Results
symmetry: Cmmm
final energy: -4.49 eV per atom
M_tot: 0.00 μB per cell



Al2Fe2W: relaxed, PBE-GGA.

POSCAR file:
```
Al2Fe2W
1.0
-1.733 1.733 5.925
1.733 -1.733 5.925
1.733 1.733 -5.925
Fe W Al
2 1 2
direct
0.250 0.750 0.500
0.750 0.250 0.500
0.000 0.000 0.000
0.398 0.398 0.000
0.602 0.602 0.000
```

Results
ΔE to the lowest computed polymorph: 316 meV per atom
symmetry: I4/mmm
final energy: -7.26 eV per atom
M_tot: 5.27 μB per cell